Entry 1:
{"formula": "TbY5Sn4", "functional": "PBE", "state": "relaxed", "dos_at_fermi_per_ev_cell": 10.1, "lattice_angstrom": [[-2.862, 3.297, 0.856], [-1.794, 0.458, -7.757], [-4.576, -7.596, 2.388]], "species": ["Tb", "Y", "Y", "Y", "Y", "Y", "Sn", "Sn", "Sn", "Sn"], "frac_coords": [[0.500, 0.000, 0.000], [0.796, 0.694, 0.592], [0.860, 0.271, 0.720], [0.140, 0.729, 0.280], [0.500, 0.500, 0.000], [0.204, 0.306, 0.408], [0.311, 0.986, 0.623], [0.966, 0.727, 0.932], [0.689, 0.014, 0.377], [0.034, 0.273, 0.068]]}

Entry 2:
{"formula": "MgNi4H7", "functional": "PBE", "state": "relaxed", "dos_at_fermi_per_ev_cell": 3.5, "lattice_angstrom": [[-3.042, 1.439, 1.045], [-1.301, -3.262, 0.708], [4.679, 0.839, 12.464]], "species": ["Mg", "Mg", "Ni", "Ni", "Ni", "Ni", "Ni", "Ni", "Ni", "Ni", "H", "H", "H", "H", "H", "H", "H", "H", "H", "H", "H", "H", "H", "H"], "frac_coords": [[0.513, 0.731, 0.500], [0.013, 0.269, 0.000], [0.513, 0.742, 0.894], [0.013, 0.749, 0.250], [0.513, 0.251, 0.250], [0.013, 0.258, 0.606], [0.013, 0.258, 0.394], [0.513, 0.742, 0.106], [0.013, 0.749, 0.750], [0.513, 0.251, 0.750], [0.013, 0.748, 0.122], [0.513, 0.252, 0.378], [0.513, 0.264, 0.875], [0.013, 0.736, 0.625], [0.013, 0.736, 0.375], [0.513, 0.264, 0.125], [0.513, 0.754, 0.761], [0.013, 0.246, 0.739], [0.013, 0.246, 0.261], [0.513, 0.754, 0.239], [0.513, 0.928, 0.000], [0.013, 0.072, 0.500], [0.013, 0.748, 0.878], [0.513, 0.252, 0.622]]}

Entry 3:
{"formula": "Y4SiTe2Se", "functional": "PBE", "state": "relaxed", "dos_at_fermi_per_ev_cell": 3.3, "lattice_angstrom": [[4.207, 0.000, 0.000], [0.000, 7.490, -0.218], [0.000, 2.568, 6.814]], "species": ["Y", "Y", "Y", "Y", "Si", "Te", "Te", "Se"], "frac_coords": [[0.000, 0.719, 0.749], [0.000, 0.281, 0.251], [0.500, 0.717, 0.270], [0.500, 0.283, 0.730], [0.000, 0.500, 0.500], [0.000, 0.000, 0.000], [0.500, 0.000, 0.500], [0.500, 0.500, 0.000]]}

Entry 4:
{"formula": "SbH2PtS", "functional": "PBE", "state": "relaxed", "dos_at_fermi_per_ev_cell": 1.4, "lattice_angstrom": [[3.680, 0.003, 0.006], [-0.009, 3.830, -0.002], [-0.235, -1.890, 6.169]], "species": ["Sb", "H", "H", "Pt", "S"], "frac_coords": [[0.791, 0.237, 0.821], [0.408, 0.943, 0.229], [0.300, 0.294, 0.935], [0.772, 0.600, 0.544], [0.764, 0.978, 0.296]]}

Entry 5:
{"formula": "MnCd2Se2", "functional": "PBE", "state": "relaxed", "dos_at_fermi_per_ev_cell": 3.6, "lattice_angstrom": [[-0.714, 1.673, 3.275], [2.690, -2.037, 1.628], [6.631, 5.809, 0.621]], "species": ["Mn", "Se", "Se", "Cd", "Cd"], "frac_coords": [[0.000, 0.000, 0.000], [0.750, 0.250, 0.500], [0.250, 0.750, 0.500], [0.410, 0.410, 0.180], [0.590, 0.590, 0.820]]}

Entry 6:
{"formula": "Ac4Pm3Sn5", "functional": "PBE", "state": "relaxed", "dos_at_fermi_per_ev_cell": 12.5, "lattice_angstrom": [[5.574, 0.000, 0.000], [2.787, 6.767, -1.563], [2.787, 0.867, 11.809]], "species": ["Ac", "Ac", "Ac", "Ac", "Pm", "Pm", "Pm", "Sn", "Sn", "Sn", "Sn", "Sn"], "frac_coords": [[0.858, 0.277, 0.006], [0.206, 0.901, 0.687], [0.794, 0.099, 0.313], [0.142, 0.723, 0.994], [0.531, 0.661, 0.276], [0.000, 0.500, 0.500], [0.469, 0.339, 0.724], [0.563, 0.002, 0.873], [0.500, 0.500, 0.500], [0.177, 0.436, 0.210], [0.823, 0.564, 0.790], [0.437, 0.998, 0.127]]}

no.,calculated total energy (eV per cell)
1,-57.34
2,-98.70
3,-52.22
4,-20.89
5,-16.16
6,-55.62